[1]
Computed, not measured: a geometry-optimized PuPa2Si2 structure at the GGA-PBE level of DFT.

Output
The calculation puts the density at 11.539 g cm⁻³. The magnetic moment comes out at 13.82 μB per cell. The calculation puts the energy relative to the elements, uncorrected at -0.457 eV per atom. The calculation puts the polymorph energy (0 for the lowest one) at 0.000 eV per atom.

a b c (Å): 4.0296 7.3784 7.3784
angles (deg): 90.00 90.00 90.00
Last column: nearest neighbours and their distance in Å.
Element x y z (fractional)
Pa: 0.5000 0.8170 0.3170  6 Si 2.92-3.02
Si: 0.0000 0.3849 0.8849  1 Si 2.40
Pa: 0.5000 0.1830 0.6830  6 Si 2.92-3.02
Si: 0.0000 0.1151 0.3849  1 Si 2.40
Pa: 0.5000 0.3170 0.1830  6 Si 2.92-3.02
Pu: 0.0000 0.5000 0.5000  4 Si 2.96
Si: 0.0000 0.8849 0.6151  1 Si 2.40
Pa: 0.5000 0.6830 0.8170  6 Si 2.92-3.02
Pu: 0.0000 0.0000 0.0000  4 Si 2.96
Si: 0.0000 0.6151 0.1151  1 Si 2.40


[2]
Computed, not measured: a geometry-optimized Si2Sn2Pb structure at the GGA-PBE level of DFT.

Output
The calculation puts the density at 6.805 g cm⁻³. The magnetic moment comes out at 0.00 μB per cell. The calculation puts the energy relative to the elements, uncorrected at 0.268 eV per atom. The calculation puts the polymorph energy (0 for the lowest one) at 0.047 eV per atom.

a b c (Å): 5.2080 5.2080 5.8190
angles (deg): 63.42 63.42 90.00
Last column: nearest neighbours and their distance in Å.
Element x y z (fractional)
Pb: 0.0000 0.0000 0.0000  2 Si 3.32, 8 Sn 3.44
Sn: 0.7500 0.2500 0.5000  4 Si 2.81
Sn: 0.2500 0.7500 0.5000  4 Si 2.81
Si: 0.3685 0.3685 0.2630  1 Si 2.37
Si: 0.6315 0.6315 0.7370  1 Si 2.37


[3]
Computed, not measured: a geometry-optimized CrGe2H structure at the GGA-PBE level of DFT.

Output
The calculation puts the density at 6.418 g cm⁻³. The magnetic moment comes out at 4.49 μB per cell. The calculation puts the polymorph energy (0 for the lowest one) at 0.000 eV per atom.

a b c (Å): 5.8690 5.8690 5.1085
angles (deg): 54.94 54.94 90.00
Last column: nearest neighbours and their distance in Å.
Element x y z (fractional)
Ge: 0.8750 0.7984 0.7500  2 H 1.93
H: 0.5000 0.5000 0.0000  4 Ge 1.93
Ge: 0.2016 0.6250 0.2500  2 H 1.93
Cr: 0.0000 0.0000 0.0000  4 Ge 2.53
H: 0.2500 0.7500 0.5000  4 Ge 1.93
Ge: 0.3750 0.4516 0.7500  2 H 1.93
Cr: 0.7500 0.2500 0.5000  4 Ge 2.53
Ge: 0.5484 0.1250 0.2500  2 H 1.93


[4]
Computed, not measured: a geometry-optimized CaOsPt2 structure at the GGA-PBE level of DFT.

Output
The calculation puts the density at 14.081 g cm⁻³. The magnetic moment comes out at 0.00 μB per cell. The calculation puts the polymorph energy (0 for the lowest one) at 0.308 eV per atom.

a b c (Å): 3.3301 3.3301 6.5984
angles (deg): 90.00 90.00 90.00
Last column: nearest neighbours and their distance in Å.
Element x y z (fractional)
Pt: 0.5000 0.5000 0.2169  1 Os 2.72, 4 Pt 2.81, 4 Ca 2.98
Ca: 0.0000 0.0000 0.4932  5 Pt 2.98-3.24, 4 Os 3.13, 4 Ca 3.33
Os: 0.5000 0.5000 0.8050  5 Pt 2.64-2.72
Pt: 0.0000 0.0000 0.9849  4 Os 2.64, 4 Pt 2.81


[5]
Computed, not measured: a geometry-optimized Na3Ho2PaTe6 structure at the GGA-PBE level of DFT.

Output
The calculation puts the density at 6.059 g cm⁻³. The magnetic moment comes out at 1.83 μB per cell. The calculation puts the energy relative to the elements, uncorrected at -1.133 eV per atom.

a b c (Å): 7.6047 7.6047 8.0453
angles (deg): 99.07 99.07 119.99
Last column: nearest neighbours and their distance in Å.
Element x y z (fractional)
Te: 0.5858 0.9219 0.7655  2 Ho 3.10, 1 Pa 3.12, 3 Na 3.23-3.25
Pa: 0.0000 0.0000 0.0000  6 Te 3.12
Te: 0.0781 0.4142 0.2345  2 Ho 3.10, 1 Pa 3.12, 3 Na 3.23-3.25
Te: 0.9219 0.5858 0.7655  2 Ho 3.10, 1 Pa 3.12, 3 Na 3.23-3.25
Na: 0.5000 0.5000 0.5000  6 Te 3.23-3.25
Te: 0.2578 0.2578 0.7654  2 Ho 3.10, 1 Pa 3.12, 3 Na 3.23-3.25
Na: 0.1665 0.8335 0.5000  6 Te 3.23-3.25
Na: 0.8335 0.1665 0.5000  6 Te 3.23-3.25
Te: 0.4142 0.0781 0.2345  2 Ho 3.10, 1 Pa 3.12, 3 Na 3.23-3.25
Ho: 0.6666 0.3334 0.0000  6 Te 3.10
Te: 0.7422 0.7422 0.2346  2 Ho 3.10, 1 Pa 3.12, 3 Na 3.23-3.25
Ho: 0.3334 0.6666 0.0000  6 Te 3.10


[6]
Computed, not measured: a geometry-optimized Tm3HfTl3Se8 structure at the GGA-PBE level of DFT.

Output
The calculation puts the density at 7.162 g cm⁻³. The magnetic moment comes out at 0.00 μB per cell. The calculation puts the energy relative to the elements, uncorrected at -1.371 eV per atom.

a b c (Å): 8.0957 8.0937 9.1687
angles (deg): 116.20 90.00 120.01
Last column: nearest neighbours and their distance in Å.
Element x y z (fractional)
Se: 0.2660 0.5320 0.2983  3 Tm 2.83
Se: 0.2539 0.0288 0.3040  1 Hf 2.72, 2 Tm 2.84
Se: 0.2251 0.4502 0.6961  1 Hf 2.72, 2 Tm 2.84
Se: 0.7749 0.5498 0.3039  1 Hf 2.72, 2 Tm 2.84
Se: 0.7461 0.9712 0.6960  1 Hf 2.72, 2 Tm 2.84
Tm: 0.5000 0.5000 0.5000  6 Se 2.83-2.84
Se: 0.2250 0.9712 0.6960  1 Hf 2.72, 2 Tm 2.84
Tm: 0.5000 0.0000 0.5000  6 Se 2.83-2.84
Tl: 0.5000 0.5000 0.0000  6 Se 3.31-3.32
Se: 0.7750 0.0288 0.3040  1 Hf 2.72, 2 Tm 2.84
Hf: 0.0000 0.0000 0.5000  6 Se 2.72
Tm: 0.0000 0.5000 0.5000  6 Se 2.83-2.84
Tl: 0.0000 0.0000 0.0000  6 Se 3.31-3.32
Tl: 0.0000 0.5000 0.0000  6 Se 3.31-3.32
Se: 0.7340 0.4680 0.7017  3 Tm 2.83


[7]
Computed, not measured: a geometry-optimized Np2ZnGa3 structure at the GGA-PBE level of DFT.

Output
The calculation puts the density at 10.987 g cm⁻³. The magnetic moment comes out at 15.71 μB per cell. The calculation puts the polymorph energy (0 for the lowest one) at 0.033 eV per atom.

a b c (Å): 4.7620 4.7620 12.4717
angles (deg): 78.99 78.99 120.03
Last column: nearest neighbours and their distance in Å.
Element x y z (fractional)
Ga: 0.1652 0.3313 0.5017  4 Ga 2.75-2.90, 1 Zn 2.86
Np: 0.6272 0.1278 0.3726  2 Np 2.83-2.94, 9 Ga 3.09-3.13, 3 Zn 3.09
Ga: 0.8348 0.6687 0.4983  4 Ga 2.75-2.90, 1 Zn 2.86
Np: 0.1275 0.6269 0.8728  2 Np 2.83-2.93, 9 Ga 3.09-3.13, 3 Zn 3.09
Zn: 0.9167 0.0830 0.7501  5 Ga 2.75-2.86
Ga: 0.3313 0.1653 0.0016  4 Ga 2.75-2.90, 1 Zn 2.86
Ga: 0.4170 0.5833 0.2499  3 Zn 2.75, 2 Ga 2.90
Ga: 0.5830 0.4167 0.7501  3 Zn 2.75, 2 Ga 2.90
Np: 0.3728 0.8722 0.6274  2 Np 2.83-2.94, 9 Ga 3.09-3.13, 3 Zn 3.09
Ga: 0.6687 0.8347 0.9984  4 Ga 2.75-2.90, 1 Zn 2.86
Np: 0.8725 0.3731 0.1272  2 Np 2.83-2.93, 9 Ga 3.09-3.13, 3 Zn 3.09
Zn: 0.0833 0.9170 0.2499  5 Ga 2.75-2.86


[8]
Computed, not measured: a geometry-optimized RePOs2 structure at the GGA-PBE level of DFT.

Output
The calculation puts the density at 18.167 g cm⁻³. The calculation puts the raw total energy at -40.42 eV for the cell shown. The magnetic moment comes out at 0.00 μB per cell.

a b c (Å): 2.8439 2.8439 6.7543
angles (deg): 90.00 90.00 90.00
Last column: nearest neighbours and their distance in Å.
Element x y z (fractional)
Os: 0.0000 0.0000 0.7838  4 P 2.49, 4 Re 2.78
P: 0.5000 0.5000 0.0000  8 Os 2.49
Re: 0.5000 0.5000 0.5000  8 Os 2.78, 4 Re 2.84
Os: 0.0000 0.0000 0.2162  4 P 2.49, 4 Re 2.78


[9]
Computed, not measured: a geometry-optimized InHgBr2 structure at the GGA-PBE level of DFT.

Output
The calculation puts the density at 6.432 g cm⁻³. The magnetic moment comes out at 0.00 μB per cell. The calculation puts the energy relative to the elements, uncorrected at -0.386 eV per atom. The calculation puts the polymorph energy (0 for the lowest one) at 0.178 eV per atom.

a b c (Å): 6.1787 6.1787 6.1787
angles (deg): 143.53 116.66 75.35
Last column: nearest neighbours and their distance in Å.
Element x y z (fractional)
In: 0.2567 0.7567 0.5000  2 Br 2.86, 2 Hg 2.97
Br: 0.0408 0.0408 0.0000  2 In 2.86
Hg: 0.4867 0.4867 0.0000  2 Br 2.96, 2 In 2.97
Br: 0.7158 0.2158 0.5000  2 Hg 2.96


[10]
Computed, not measured: a geometry-optimized Re2MoI structure at the GGA-PBE level of DFT.

Output
The calculation puts the density at 9.976 g cm⁻³. The magnetic moment comes out at 0.00 μB per cell. The calculation puts the energy relative to the elements, uncorrected at 1.712 eV per atom. The calculation puts the polymorph energy (0 for the lowest one) at 0.497 eV per atom.

a b c (Å): 5.7933 5.7933 7.1861
angles (deg): 66.23 66.23 90.00
Last column: nearest neighbours and their distance in Å.
Element x y z (fractional)
Mo: 0.5000 0.5000 0.0000  4 Re 2.45
Re: 0.1484 0.6250 0.2500  2 Mo 2.45, 2 I 2.60
Re: 0.6016 0.1250 0.2500  2 Mo 2.45, 2 I 2.60
I: 0.7500 0.2500 0.5000  4 Re 2.60
Re: 0.8750 0.8516 0.7500  2 Mo 2.45, 2 I 2.60
I: 0.0000 0.0000 0.0000  4 Re 2.60
Re: 0.3750 0.3984 0.7500  2 Mo 2.45, 2 I 2.60
Mo: 0.2500 0.7500 0.5000  4 Re 2.45


[11]
Computed, not measured: a geometry-optimized Ca2TaW structure at the GGA-PBE level of DFT.

Output
The calculation puts the density at 7.584 g cm⁻³. The magnetic moment comes out at 0.00 μB per cell. The calculation puts the polymorph energy (0 for the lowest one) at 0.203 eV per atom.

a b c (Å): 3.1573 3.1573 10.5446
angles (deg): 90.00 90.00 112.05
Last column: nearest neighbours and their distance in Å.
Element x y z (fractional)
W: 0.5000 0.5000 0.7188  2 Ta 2.58
Ca: 0.0000 0.0000 0.9586  2 W 3.08, 4 Ca 3.16
Ca: 0.5000 0.5000 0.2818  6 Ca 3.16-3.53, 2 Ta 3.25
Ta: 0.0000 0.0000 0.5409  2 W 2.58


[12]
Computed, not measured: a geometry-optimized Pm5B2Ir5 structure at the GGA-PBE level of DFT.

Output
The calculation puts the density at 11.714 g cm⁻³. The calculation puts the raw total energy at -87.25 eV for the cell shown. The magnetic moment comes out at 0.00 μB per cell.

a b c (Å): 3.8234 5.7884 11.6497
angles (deg): 84.47 90.00 109.29
Last column: nearest neighbours and their distance in Å.
Element x y z (fractional)
Ir: 0.0933 0.1866 0.3154  1 B 2.16
Pm: 0.2060 0.4120 0.6348  1 B 2.65
B: 0.0351 0.0702 0.8140  4 Ir 2.15-2.16
Ir: 0.0000 0.0000 0.0000  2 B 2.16
Ir: 0.6171 0.2343 0.8416  2 B 2.15
Ir: 0.3829 0.7657 0.1584  2 B 2.15
Pm: 0.7940 0.5880 0.3652  1 B 2.65
B: 0.9649 0.9298 0.1860  4 Ir 2.15-2.16
Ir: 0.9067 0.8134 0.6846  1 B 2.16
Pm: 0.3399 0.6798 0.8861  2 B 2.92, 8 Ir 2.99-3.25
Pm: 0.5000 0.0000 0.5000  4 Ir 2.98
Pm: 0.6601 0.3202 0.1139  2 B 2.92, 8 Ir 2.99-3.25